1.
Compound: Li3MgPt
Source: the Alexandria database
Functional: PBE
Structure: relaxed

Cell lengths 4.5147, 9.4286, 9.4286 Å; angles 59.35, 75.95, 75.95 degrees
Element x y z (fractional)
1 Pt 0.1484 0.7512 0.4519
2 Li 0.8615 0.7377 0.0416
3 Mg 0.2500 0.8783 0.1217
4 Li 0.6385 0.9584 0.2623
5 Mg 0.7500 0.1217 0.8783
6 Pt 0.6484 0.4519 0.7512
7 Pt 0.3516 0.5481 0.2488
8 Li 0.0677 0.5858 0.7796
9 Li 0.9612 0.9266 0.6539
10 Li 0.5677 0.7796 0.5858
11 Li 0.4323 0.2204 0.4142
12 Li 0.0388 0.0734 0.3461
13 Li 0.9323 0.4142 0.2204
14 Li 0.3615 0.0416 0.7377
15 Mg 0.2500 0.3990 0.6010
16 Li 0.1385 0.2623 0.9584
17 Mg 0.7500 0.6010 0.3990
18 Pt 0.8516 0.2488 0.5481
19 Li 0.4612 0.6539 0.9266
20 Li 0.5388 0.3461 0.0734

Computed properties:
- DOS(E_F): 6.03 states/eV/cell
- Calculated total energy: -0.224 Ry/atom
- Total moment: 0.0 μB per formula unit
- Space group: C2/c (15)
- Calculated density: 4.8 Mg/m³

***

2.
Compound: Li2MgPt
Source: the Alexandria database
Functional: PBE
Structure: relaxed

Cell lengths 2.8175, 2.8175, 9.2506 Å; angles 90.00, 90.00, 112.88 degrees
Element x y z (fractional)
1 Pt 0.5000 0.5000 0.7500
2 Mg 0.5000 0.5000 0.2500
3 Li 0.0000 0.0000 0.5351
4 Li 0.0000 0.0000 0.9649

Computed properties:
- DOS(E_F): 1.69 states/eV/cell
- Calculated total energy: -0.229 Ry/atom
- Total moment: 0.0 μB per formula unit
- Space group: Cmmm (65)
- Calculated density: 5.7 Mg/m³

***

3.
Compound: LiMg2Pt5
Source: the Alexandria database
Functional: PBE
Structure: relaxed

Cell lengths 5.5278, 5.5278, 5.5276 Å; angles 118.30, 118.30, 92.97 degrees
Element x y z (fractional)
1 Pt 0.2779 0.2779 0.5001
2 Mg 0.2778 0.7779 0.5000
3 Mg 0.7778 0.2779 0.5000
4 Pt 0.2778 0.2778 0.0000
5 Li 0.7781 0.7781 0.0000
6 Pt 0.7778 0.7778 0.4999
7 Pt 0.7778 0.2779 0.0000
8 Pt 0.2779 0.7778 0.0000

Computed properties:
- DOS(E_F): 5.63 states/eV/cell
- Calculated total energy: -0.375 Ry/atom
- Total moment: 0.0 μB per formula unit
- Space group: I4/mmm (139)
- Calculated density: 14.0 Mg/m³

***

4.
Compound: LiMg4Pt5
Source: the Alexandria database
Functional: PBE
Structure: relaxed

Cell lengths 2.9698, 2.9698, 17.3543 Å; angles 90.00, 90.00, 90.00 degrees
Element x y z (fractional)
1 Pt 0.5000 0.5000 0.7071
2 Mg 0.0000 0.0000 0.1886
3 Mg 0.0000 0.0000 0.3963
4 Mg 0.0000 0.0000 0.6037
5 Mg 0.0000 0.0000 0.8114
6 Pt 0.5000 0.5000 0.5000
7 Pt 0.5000 0.5000 0.9108
8 Pt 0.5000 0.5000 0.0892
9 Li 0.0000 0.0000 0.0000
10 Pt 0.5000 0.5000 0.2929

Computed properties:
- DOS(E_F): 2.21 states/eV/cell
- Calculated total energy: -0.343 Ry/atom
- Total moment: 0.0 μB per formula unit
- Space group: P4/mmm (123)
- Calculated density: 11.7 Mg/m³

***

5.
Compound: Li12Mg6Pt
Source: the Alexandria database
Functional: PBE
Structure: relaxed

Cell lengths 7.2558, 7.2558, 7.2558 Å; angles 91.13, 88.87, 88.87 degrees
Element x y z (fractional)
1 Li 0.2020 0.4492 0.5295
2 Mg 0.7486 0.8867 0.7317
3 Li 0.9511 0.3610 0.1460
4 Mg 0.1133 0.7317 0.2514
5 Li 0.0489 0.6390 0.8540
6 Mg 0.2683 0.2514 0.8867
7 Li 0.5295 0.2020 0.5508
8 Mg 0.8867 0.2683 0.7486
9 Mg 0.7317 0.7486 0.1133
10 Li 0.4705 0.7980 0.4492
11 Pt 0.0000 0.0000 0.0000
12 Li 0.7980 0.5508 0.4705
13 Li 0.8540 0.0489 0.3610
14 Li 0.6390 0.1460 0.0489
15 Li 0.4492 0.4705 0.2020
16 Li 0.1460 0.9511 0.6390
17 Li 0.5508 0.5295 0.7980
18 Mg 0.2514 0.1133 0.2683
19 Li 0.3610 0.8540 0.9511

Computed properties:
- DOS(E_F): 8.53 states/eV/cell
- Calculated total energy: -0.158 Ry/atom
- Total moment: 0.0 μB per formula unit
- Space group: R-3 (148)
- Calculated density: 1.8 Mg/m³

***

6.
Compound: RbLi2MgPt
Source: the Alexandria database
Functional: PBE
Structure: relaxed

Cell lengths 5.1487, 5.1487, 5.1553 Å; angles 90.00, 90.00, 90.00 degrees
Element x y z (fractional)
1 Li 0.5000 0.0000 0.0000
2 Li 0.0000 0.5000 0.0000
3 Rb 0.5000 0.5000 0.5000
4 Pt 0.0000 0.0000 0.0000
5 Mg 0.0000 0.0000 0.5000

Computed properties:
- DOS(E_F): 2.77 states/eV/cell
- Calculated total energy: -0.195 Ry/atom
- Total moment: 0.0 μB per formula unit
- Space group: P4/mmm (123)
- Calculated density: 3.9 Mg/m³

***

7.
Compound: RbLiMg2Pt
Source: the Alexandria database
Functional: PBE
Structure: relaxed

Cell lengths 5.1931, 5.1931, 5.2119 Å; angles 90.00, 90.00, 90.00 degrees
Element x y z (fractional)
1 Mg 0.5000 0.0000 0.0000
2 Pt 0.0000 0.0000 0.0000
3 Li 0.0000 0.0000 0.5000
4 Rb 0.5000 0.5000 0.5000
5 Mg 0.0000 0.5000 0.0000

Computed properties:
- DOS(E_F): 2.34 states/eV/cell
- Calculated total energy: -0.196 Ry/atom
- Total moment: 0.0 μB per formula unit
- Space group: P4/mmm (123)
- Calculated density: 4.0 Mg/m³

***

8.
Compound: LiMg4Pt2Rh
Source: the Alexandria database
Functional: PBE
Structure: relaxed

Cell lengths 4.4810, 4.4810, 7.7801 Å; angles 73.26, 73.26, 60.00 degrees
Element x y z (fractional)
1 Mg 0.6230 0.6230 0.1311
2 Pt 0.2517 0.2517 0.2450
3 Li 0.0000 0.0000 0.0000
4 Rh 0.5000 0.5000 0.5000
5 Mg 0.3770 0.3770 0.8689
6 Mg 0.8724 0.8724 0.3828
7 Pt 0.7483 0.7483 0.7550
8 Mg 0.1276 0.1276 0.6172

Computed properties:
- DOS(E_F): 2.08 states/eV/cell
- Calculated total energy: -0.305 Ry/atom
- Total moment: 0.0 μB per formula unit
- Space group: R-3m (166)
- Calculated density: 7.8 Mg/m³

***

9.
Compound: LiMg2Si2Pt5
Source: the Alexandria database
Functional: PBE
Structure: relaxed

Cell lengths 3.5150, 9.3976, 9.3976 Å; angles 90.00, 90.00, 90.00 degrees
Element x y z (fractional)
1 Si 0.0000 0.8679 0.3679
2 Pt 0.5000 0.0000 0.5000
3 Mg 0.0000 0.8301 0.6699
4 Pt 0.5000 0.0729 0.7985
5 Si 0.0000 0.6321 0.8679
6 Li 0.0000 0.0000 0.0000
7 Li 0.0000 0.5000 0.5000
8 Pt 0.5000 0.2015 0.0729
9 Si 0.0000 0.3679 0.1321
10 Pt 0.5000 0.5729 0.7015
11 Pt 0.5000 0.9271 0.2015
12 Si 0.0000 0.1321 0.6321
13 Pt 0.5000 0.7985 0.9271
14 Pt 0.5000 0.5000 0.0000
15 Mg 0.0000 0.6699 0.1699
16 Pt 0.5000 0.2985 0.5729
17 Mg 0.0000 0.1699 0.3301
18 Pt 0.5000 0.4271 0.2985
19 Pt 0.5000 0.7015 0.4271
20 Mg 0.0000 0.3301 0.8301

Computed properties:
- DOS(E_F): 5.18 states/eV/cell
- Total moment: 0.0 μB per formula unit
- Formation energy from raw total energies: -706 meV per atom
- Space group: P4/mbm (127)
- Calculated density: 11.6 Mg/m³

***

10.
Compound: Sr2LiMgPt
Source: the Alexandria database
Functional: PBE
Structure: relaxed

Cell lengths 5.8891, 5.8891, 4.9203 Å; angles 90.00, 90.00, 90.00 degrees
Element x y z (fractional)
1 Sr 0.0000 0.5000 0.0000
2 Pt 0.0000 0.0000 0.0000
3 Sr 0.5000 0.0000 0.0000
4 Li 0.0000 0.0000 0.5000
5 Mg 0.5000 0.5000 0.5000

Computed properties:
- DOS(E_F): 2.33 states/eV/cell
- Calculated total energy: -0.211 Ry/atom
- Total moment: 0.0 μB per formula unit
- Space group: P4/mmm (123)
- Calculated density: 3.9 Mg/m³

***

11.
Compound: Sr2LiMgPt
Source: the Alexandria database
Functional: PBE
Structure: relaxed

Cell lengths 5.8896, 5.8896, 5.1636 Å; angles 90.00, 90.00, 90.00 degrees
Element x y z (fractional)
1 Mg 0.0000 0.0000 0.5000
2 Sr 0.5000 0.0000 0.0000
3 Pt 0.0000 0.0000 0.0000
4 Sr 0.0000 0.5000 0.0000
5 Li 0.5000 0.5000 0.5000

Computed properties:
- DOS(E_F): 1.64 states/eV/cell
- Calculated total energy: -0.217 Ry/atom
- Total moment: 0.0 μB per formula unit
- Space group: P4/mmm (123)
- Calculated density: 3.7 Mg/m³

***

12.
Compound: LiMg2TiPt
Source: the Alexandria database
Functional: PBE
Structure: relaxed

Cell lengths 4.4657, 4.5244, 4.4657 Å; angles 90.00, 90.00, 90.00 degrees
Last column: magnetic moment on the atom in μB.
Element x y z (fractional)
1 Ti 0.0000 0.5000 0.0000  0.96
2 Li 0.0000 0.0000 0.0000  0.09
3 Mg 0.0000 0.0000 0.5000  0.00
4 Pt 0.5000 0.5000 0.5000  -0.02
5 Mg 0.5000 0.0000 0.0000  0.00

Computed properties:
- DOS(E_F): 4.60 states/eV/cell
- Calculated total energy: -0.241 Ry/atom
- Total moment: 1.3 μB per formula unit
- Space group: P4/mmm (123)
- Calculated density: 5.5 Mg/m³

***

Number 11 is which compound? Sr2LiMgPt

***

Which value of total moment does entry 1 give? 0.0 μB per formula unit

***

Please write out number 2 again, unchanged.
Compound: Li2MgPt
Source: the Alexandria database
Functional: PBE
Structure: relaxed

Cell lengths 2.8175, 2.8175, 9.2506 Å; angles 90.00, 90.00, 112.88 degrees
Element x y z (fractional)
1 Pt 0.5000 0.5000 0.7500
2 Mg 0.5000 0.5000 0.2500
3 Li 0.0000 0.0000 0.5351
4 Li 0.0000 0.0000 0.9649

Computed properties:
- DOS(E_F): 1.69 states/eV/cell
- Calculated total energy: -0.229 Ry/atom
- Total moment: 0.0 μB per formula unit
- Space group: Cmmm (65)
- Calculated density: 5.7 Mg/m³